Material: MgP2Cl
Method: DFT, GGA-PBE
State: relaxed

Computed properties:
The total moment is 0.000 μB/f.u. As for the total energy: -3.80 eV per atom.

Cell lengths 3.472, 3.472, 6.012 Å; angles 90.00, 90.00, 90.00 degrees
Space group P4/mmm (No. 123)
Inequivalent atoms, fractional coordinates:
Mg1 0.000 0.000 0.000 (multiplicity 1)
P1 0.000 0.500 0.500 (multiplicity 2)
Cl1 0.500 0.500 0.000 (multiplicity 1)